## CaY2P (PBE)

Data for an optimized crystal structure of CaY2P.

The space group is I4/mmm (No. 139) and the conventional cell measures 4.484, 4.484 and 10.402 Å, with angles of 90.00, 90.00 and 90.00 degrees. Symmetry generates all atoms from Ca at (0.000, 0.000, 0.000), Y at (0.000, 0.500, 0.250) and P at (0.000, 0.000, 0.500).

As for the energy relative to the elements: -0.991 eV per formula unit. The total energy is -42.662 eV per cell.